This record from Alexandria describes RbAlSb2C after structural relaxation. The functional is PBE-GGA.

Output
Uncorrected energy, eV/atom: -2.942
N(E_F), states/eV per atom: 0.781

Cell and atoms, written as extended XYZ:
```
5
Lattice="-1.4902 4.3780 2.3892 1.9493 -2.8431 6.4254 4.7894 1.9519 -0.5893" Properties=species:S:1:pos:R:3 pbc="T T T"
Sb -0.7451 2.1890 1.1946
Sb 2.3947 0.9759 -0.2947
C 2.6242 1.7434 4.1126
Rb 0.9746 -1.4215 3.2127
Al 0.0000 0.0000 0.0000
```


This record from Alexandria describes BaZr2Bi2O7 after structural relaxation. The functional is PBE-GGA.

Output
Uncorrected energy, eV/atom: -7.440
N(E_F), states/eV per atom: 0.014

Cell and atoms, written as extended XYZ:
```
12
Lattice="-2.8508 -2.5315 1.4482 2.3150 -3.4270 -1.4335 6.1540 2.4763 10.7004" Properties=species:S:1:pos:R:3 pbc="T T T"
O 3.8599 -0.3444 6.9962
O -0.2400 -1.3532 2.9048
O 1.7792 -3.1688 3.7059
O -0.0878 -3.2460 -0.1042
O 5.8382 -2.0996 7.8226
O 3.5014 -1.5733 9.8851
O 1.9541 -1.6682 0.9307
Bi 0.8767 -1.4772 4.8863
Bi 4.7625 -2.0363 5.8158
Zr 0.7645 -3.0707 1.8799
Zr 4.8582 -0.4184 8.8323
Ba 2.2698 -3.3602 -1.4056
```


This record from Alexandria describes Nd3TmCd6 after structural relaxation. The functional is PBE-GGA.

Output
Uncorrected energy, eV/atom: -2.714
ΔH_f (0 K), eV/f.u.: -2.87
N(E_F), states/eV per atom: 0.815

Cell and atoms, written as extended XYZ:
```
20
Lattice="5.2035 0.0000 0.0000 0.0000 9.0140 -2.6584 0.0000 0.2594 11.1986" Properties=species:S:1:pos:R:3 pbc="T T T"
Cd 3.9026 7.0839 3.8029
Cd 1.3009 7.9428 1.0820
Cd 3.9026 1.3306 7.4581
Cd 1.3009 4.1045 -0.2351
Cd 3.9026 7.8754 6.9100
Cd 1.3009 0.6482 9.7796
Cd 1.3009 1.3980 1.6302
Cd 1.3009 2.1895 4.7372
Cd 3.9026 8.6252 -1.2394
Cd 3.9026 5.1689 8.7752
Cd 3.9026 3.0106 2.4510
Cd 1.3009 6.2629 6.0891
Nd 1.3009 4.8635 2.9785
Nd 1.3009 3.3205 7.7791
Nd 3.9026 4.4099 5.5616
Nd 3.9026 2.4027 10.5497
Nd 1.3009 6.8707 -2.0096
Nd 3.9026 5.9529 0.7611
Tm 1.3009 8.7033 4.1660
Tm 3.9026 0.5701 4.3742
```